# MnBePIrF, relaxed, DFT PBE with a Hubbard U
data_MnBePIrF
_chemical_formula_sum 'Mn1 Be1 P1 Ir1 F1'
_cell_length_a 4.404
_cell_length_b 2.884
_cell_length_c 5.791
_cell_angle_alpha 90.00
_cell_angle_beta 112.28
_cell_angle_gamma 90.00
_symmetry_space_group_name_H-M 'P 1 m 1'
_symmetry_Int_Tables_number 6
loop_
_symmetry_equiv_pos_as_xyz
'x,y,z'
'x,-y,z'
loop_
_atom_site_label
_atom_site_type_symbol
_atom_site_fract_x
_atom_site_fract_y
_atom_site_fract_z
Mn1 Mn 0.000 0.000 0.000
Be1 Be 0.604 0.500 0.211
P1 P 0.800 0.500 0.601
Ir1 Ir 0.215 0.500 0.432
F1 F 0.521 0.000 0.042
# - excess energy over the best structure of this formula in the dataset (meV per atom) = 220.6
# - volume (Å³/atom) = 13.6